# TlVOs2O8 PBE with a Hubbard U relaxed
data_TlVOs2O8
_chemical_formula_sum 'Tl1 V1 Os2 O8'
_cell_length_a 5.4350
_cell_length_b 5.4350
_cell_length_c 8.1850
_cell_angle_alpha 90.00
_cell_angle_beta 90.00
_cell_angle_gamma 120.00
_space_group_name_H-M_alt 'P -3'
_space_group_IT_number 147
_space_group_name_Hall '-P 3'
loop_
_atom_site_label
_atom_site_fract_x
_atom_site_fract_y
_atom_site_fract_z
Tl1 0.0000 0.0000 0.0000
V1 0.0000 0.0000 0.5000
Os1 0.3333 0.6667 0.7146
O1 0.0461 0.3226 0.6493
O2 0.3333 0.6667 0.9317
# Total energy ... -7.03 eV per atom